--- 1 ---
Here is LiNi2Ge2 at its PBEsol-relaxed geometry from Alexandria via LeMat-Bulk. Energies are from SCAN.

```
5
Lattice="-1.8537 1.8537 5.2255 1.8537 -1.8537 5.2255 1.8537 1.8537 -5.2255" Properties=species:S:1:pos:R:3 pbc="T T T"
Li 0.0000 0.0000 0.0000
Ni 1.8537 0.0000 2.6127
Ni 0.0000 1.8537 2.6127
Ge 0.0000 0.0000 4.0112
Ge 0.0000 0.0000 6.4398
```

Properties
The calculation puts the density at 6.2 g cm⁻³. The symmetry is I4/mmm. As for the size of the total moment: 0.00 μB/atom.

=====

--- 2 ---
Here is LiNi2Ge2 at its PBEsol-relaxed geometry from Alexandria via LeMat-Bulk. Energies are from SCAN.

```
10
Lattice="6.9686 0.0000 0.0000 0.0000 6.9686 0.0000 0.0000 0.0000 2.6792" Properties=species:S:1:pos:R:3 pbc="T T T"
Li 0.0000 0.0000 0.0000
Li 3.4843 3.4843 0.0000
Ni 0.9686 2.5157 1.3396
Ni 2.5157 6.0000 1.3396
Ni 4.4528 0.9686 1.3396
Ni 6.0000 4.4528 1.3396
Ge 1.0916 4.5759 0.0000
Ge 2.3926 1.0916 0.0000
Ge 4.5759 5.8769 0.0000
Ge 5.8769 2.3926 0.0000
```

Properties
The calculation puts the density at 6.9 g cm⁻³. The symmetry is P4/mbm. As for the size of the total moment: 0.00 μB/atom.

=====

Which one is most stable, and which one is least stable? 1 is the most stable of them, while 2 is the least stable.

=====

--- 1 ---
Here is Li7VGeO8 at its PBEsol-relaxed geometry from Alexandria via LeMat-Bulk. Energies are from SCAN.

```
34
Lattice="5.3181 0.0000 0.0000 0.0000 6.3107 0.0000 -0.2187 0.0000 10.6297" Properties=species:S:1:pos:R:3 pbc="T T T"
Li 0.0000 0.0000 0.0000
Li -0.0074 1.4563 2.4516
Li -0.0074 4.8544 2.4516
Li 0.7625 0.0000 5.2237
Li 1.1511 1.2565 8.0486
Li 1.1511 5.0542 8.0486
Li 2.4391 3.1553 6.7234
Li 2.7148 1.5899 4.1688
Li 2.7148 4.7208 4.1688
Li 3.3403 3.1553 1.6236
Li 3.2302 1.5869 9.7378
Li 3.2302 4.7238 9.7378
Li 4.6306 1.9531 7.7561
Li 4.6306 4.3576 7.7561
V -0.0413 3.1553 5.1358
V 0.5865 3.1553 10.3887
Ge 2.7066 0.0000 1.6192
Ge 3.4152 0.0000 6.8355
O -0.1097 0.0000 7.0608
O 0.1672 3.1553 1.3082
O 0.0067 1.7609 9.5103
O 0.0067 4.5498 9.5103
O 0.4620 3.1553 6.8503
O 0.5873 1.7783 4.3775
O 0.5873 4.5324 4.3775
O 0.9361 0.0000 1.6362
O 2.3022 3.1553 10.3927
O 2.7397 0.0000 5.2587
O 2.8991 1.4712 7.7199
O 2.8991 4.8394 7.7199
O 3.1258 0.0000 10.5958
O 3.3452 1.4401 2.4262
O 3.3452 4.8706 2.4262
O 3.5577 3.1553 5.1233
```

Properties
The calculation puts the density at 2.8 g cm⁻³. The symmetry is Pm. As for the size of the total moment: 0.00 μB/atom.

=====

--- 2 ---
Here is Li7VGeO8 at its PBEsol-relaxed geometry from Alexandria via LeMat-Bulk. Energies are from SCAN.

```
34
Lattice="5.2372 0.0000 0.0000 -0.0951 6.2141 0.0000 -0.0575 -0.0672 10.7221" Properties=species:S:1:pos:R:3 pbc="T T T"
Li 0.0000 0.0000 0.0000
Li -0.0519 1.4424 8.2821
Li 0.2751 2.8019 10.6912
Li 0.9082 0.9974 1.8010
Li 1.7434 4.7271 9.9145
Li 1.8254 3.0522 7.3603
Li 1.8257 6.1613 7.3584
Li 1.9906 3.1321 2.0192
Li 2.5608 4.6025 4.5554
Li 2.7375 6.0769 1.9919
Li 3.8379 4.0799 0.6180
Li 4.2590 1.7069 3.0198
Li 4.4595 3.0033 5.5217
Li 4.4349 6.0959 5.5140
V 1.8006 1.4746 4.6772
V 4.3941 4.5449 8.1920
Ge 0.0204 4.6022 2.8638
Ge 2.6446 1.5395 10.0383
O 0.0761 1.4474 4.6667
O 1.7690 4.7559 2.8775
O 1.9532 0.2915 0.2764
O 1.9132 1.5040 8.4476
O 2.2476 3.1333 0.1443
O 2.3474 1.5211 3.0136
O 2.3643 2.8619 5.4813
O 2.4522 0.1253 5.4854
O 2.6756 4.6091 8.1824
O 4.3919 1.4375 10.0035
O 4.4978 4.5317 4.4238
O 4.5972 5.9504 1.8829
O 4.9913 3.0929 1.8940
O 4.9680 3.1692 7.3698
O 4.9699 4.4825 9.8406
O 5.0167 5.9140 7.3893
```

Properties
The calculation puts the density at 2.9 g cm⁻³. The symmetry is P1. As for the size of the total moment: 0.01 μB/atom.

=====

Which one is most stable, and which one is least stable? 2 is the most stable of them, while 1 is the least stable.

=====

--- 1 ---
Here is Li10GeP2S12 at its PBEsol-relaxed geometry from Alexandria via LeMat-Bulk. Energies are from SCAN.

```
50
Lattice="8.4452 0.0000 0.0000 -0.0028 8.8219 0.0000 -0.0668 -0.6825 12.6693" Properties=species:S:1:pos:R:3 pbc="T T T"
Li 0.0000 0.0000 0.0000
Li 0.0124 4.1008 0.9591
Li 0.0195 3.8480 8.2406
Li 0.1933 -0.4578 9.2158
Li 1.7325 5.5544 11.7007
Li 1.9266 5.9972 5.0988
Li 3.8301 3.1270 7.5809
Li 3.9173 8.0778 12.4791
Li 3.9772 8.1748 5.5569
Li 4.0555 3.8147 4.3799
Li 4.0439 -0.4299 8.9400
Li 4.1233 4.1081 1.3279
Li 4.1181 3.8162 10.9924
Li 4.2572 8.1485 2.5222
Li 5.9766 5.7989 7.6924
Li 6.2143 1.8557 3.7900
Li 6.3218 1.6774 10.1743
Li 8.1544 8.1814 6.1712
Li 8.2770 8.2853 2.7925
Li 8.3556 3.8291 4.3259
Ge 2.0183 6.3911 2.1334
Ge 6.2961 1.6890 6.7987
P 1.9507 1.6773 10.7478
P 2.0798 6.0299 8.4378
P 6.1966 1.8387 0.5332
P 6.1767 5.9595 4.5934
S 0.1633 6.6112 0.9582
S 0.3075 1.9274 9.5986
S 0.4087 5.8779 9.6186
S 1.8779 -0.2505 11.4219
S 1.9816 4.4977 7.0820
S 2.0168 4.3774 3.0964
S 2.0373 7.8539 7.4733
S 2.0985 8.0048 3.6734
S 2.0829 3.1033 12.2202
S 3.6811 1.8761 9.6503
S 3.7773 6.5398 0.7807
S 3.8055 5.9560 9.5609
S 4.4031 1.7472 5.6085
S 4.5154 1.6079 1.6897
S 4.5029 5.7428 5.7617
S 6.1470 3.3455 8.2848
S 6.1722 7.8598 3.8559
S 6.1856 4.4764 3.1809
S 6.1476 3.0375 12.3956
S 6.1788 -0.2836 11.7432
S 6.3540 -0.2410 7.9550
S 7.8260 5.7281 5.7930
S 7.8856 1.7023 1.7077
S 8.0685 1.7270 5.4965
```

Properties
The calculation puts the density at 2.1 g cm⁻³. The symmetry is P1. As for the size of the total moment: 0.00 μB/atom.

=====

--- 2 ---
Here is Li10GeP2S12 at its PBEsol-relaxed geometry from Alexandria via LeMat-Bulk. Energies are from SCAN.

```
50
Lattice="8.6824 0.0000 0.0000 0.0000 8.6824 0.0000 0.0000 0.0000 12.4028" Properties=species:S:1:pos:R:3 pbc="T T T"
Li 0.0000 0.0000 0.0000
Li 0.0000 0.0000 6.2014
Li 1.9513 2.1121 6.0883
Li 1.9513 6.5703 6.0883
Li 1.9705 2.3453 9.2737
Li 1.9705 6.3371 9.2737
Li 2.1121 1.9513 12.2897
Li 2.1121 6.7311 12.2897
Li 2.3453 1.9705 3.0723
Li 2.3453 6.7119 3.0723
Li 4.3412 4.3412 4.9507
Li 4.3412 4.3412 11.1521
Li 6.3371 1.9705 3.0723
Li 6.3371 6.7119 3.0723
Li 6.5703 1.9513 12.2897
Li 6.5703 6.7311 12.2897
Li 6.7119 2.3453 9.2737
Li 6.7119 6.3371 9.2737
Li 6.7311 2.1121 6.0883
Li 6.7311 6.5703 6.0883
Ge 0.0000 0.0000 3.1227
Ge 0.0000 0.0000 9.3241
P 0.0000 4.3412 11.9295
P 4.3412 0.0000 5.7281
P 4.3412 4.3412 1.8090
P 4.3412 4.3412 8.0103
S 0.0000 1.8173 8.0436
S 0.0000 1.8273 4.4049
S 0.0000 2.6757 0.6969
S 0.0000 6.0067 0.6969
S 0.0000 6.8551 4.4049
S 0.0000 6.8651 8.0436
S 1.7011 4.3412 10.7675
S 1.8173 0.0000 1.8422
S 1.8273 0.0000 10.6063
S 2.6251 4.3412 6.8680
S 2.6547 4.3412 2.9521
S 2.6757 0.0000 6.8983
S 4.3412 1.7011 4.5661
S 4.3412 2.6251 0.6666
S 4.3412 2.6547 9.1535
S 4.3412 6.0277 9.1535
S 4.3412 6.0573 0.6666
S 4.3412 6.9813 4.5661
S 6.0067 0.0000 6.8983
S 6.0277 4.3412 2.9521
S 6.0573 4.3412 6.8680
S 6.8551 0.0000 10.6063
S 6.8651 0.0000 1.8422
S 6.9813 4.3412 10.7675
```

Properties
The calculation puts the density at 2.1 g cm⁻³. The symmetry is P4_2mc. As for the size of the total moment: 0.00 μB/atom.

=====

Which one is most stable, and which one is least stable? 1 is the most stable of them, while 2 is the least stable.

=====

--- 1 ---
Here is Mg2GeO4 at its PBEsol-relaxed geometry from Alexandria via LeMat-Bulk. Energies are from SCAN.

```
28
Lattice="10.3131 0.0000 0.0000 0.0000 6.0371 0.0000 0.0000 0.0000 4.9273" Properties=species:S:1:pos:R:3 pbc="T T T"
Mg 0.0000 0.0000 0.0000
Mg 0.0000 3.0185 0.0000
Mg 2.3143 1.5093 2.4316
Mg 2.8423 4.5278 4.8953
Mg 5.1565 0.0000 2.4636
Mg 5.1565 3.0185 2.4636
Mg 7.4708 1.5093 0.0320
Mg 7.9988 4.5278 2.4957
Ge 0.9752 4.5278 2.1522
Ge 4.1814 1.5093 4.6159
Ge 6.1317 4.5278 0.3114
Ge 9.3379 1.5093 2.7751
O 0.6226 1.5093 3.5940
O 0.9498 4.5278 3.8920
O 1.7007 3.1442 1.3116
O 1.7007 5.9115 1.3116
O 3.4559 0.1256 3.7752
O 3.4559 2.8929 3.7752
O 4.2068 1.5093 1.4283
O 4.5339 4.5278 1.1304
O 5.7792 1.5093 3.7969
O 6.1063 4.5278 3.4990
O 6.8572 3.1442 1.1521
O 6.8572 5.9115 1.1521
O 8.6124 0.1256 3.6157
O 8.6124 2.8929 3.6157
O 9.3633 1.5093 1.0353
O 9.6905 4.5278 1.3333
```

Properties
The calculation puts the density at 4.0 g cm⁻³. The symmetry is Pnma. As for the size of the total moment: 0.00 μB/atom.

=====

--- 2 ---
Here is Mg2GeO4 at its PBEsol-relaxed geometry from Alexandria via LeMat-Bulk. Energies are from SCAN.

```
14
Lattice="0.0000 4.1341 4.1341 4.1341 0.0000 4.1341 4.1341 4.1341 0.0000" Properties=species:S:1:pos:R:3 pbc="T T T"
Mg 0.0000 0.0000 0.0000
Mg 2.0671 2.0671 0.0000
Mg 2.0671 0.0000 2.0671
Mg 0.0000 2.0671 2.0671
Ge 3.1006 3.1006 3.1006
Ge 5.1676 5.1676 5.1676
O 2.0680 2.0680 2.0680
O 4.1332 4.1332 2.0680
O 4.1332 2.0680 4.1332
O 6.2003 4.1350 4.1350
O 2.0680 4.1332 4.1332
O 4.1350 6.2003 4.1350
O 4.1350 4.1350 6.2003
O 6.2003 6.2003 6.2003
```

Properties
The calculation puts the density at 4.4 g cm⁻³. The symmetry is Fd-3m. As for the size of the total moment: 0.00 μB/atom.

=====

Which one is most stable, and which one is least stable? 2 is the most stable of them, while 1 is the least stable.

=====

--- 1 ---
Here is GeMo3Pd at its PBEsol-relaxed geometry from Alexandria via LeMat-Bulk. Energies are from SCAN.

```
5
Lattice="4.6536 0.0000 0.0000 0.0000 4.6536 0.0000 0.0000 0.0000 4.6536" Properties=species:S:1:pos:R:3 pbc="T T T"
Ge 0.0000 0.0000 0.0000
Mo 0.0000 2.3268 2.3268
Mo 2.3268 0.0000 2.3268
Mo 2.3268 2.3268 0.0000
Pd 2.3268 2.3268 2.3268
```

Properties
The calculation puts the density at 7.7 g cm⁻³. The symmetry is Pm-3m. As for the size of the total moment: 0.00 μB/atom.

=====

--- 2 ---
Here is GeMo3Pd at its PBEsol-relaxed geometry from Alexandria via LeMat-Bulk. Energies are from SCAN.

```
5
Lattice="4.5098 0.0000 0.0000 0.0000 4.5098 0.0000 0.0000 0.0000 4.5098" Properties=species:S:1:pos:R:3 pbc="T T T"
Ge 0.0000 0.0000 0.0000
Mo 0.0000 0.0000 2.2549
Mo 0.0000 2.2549 0.0000
Mo 2.2549 0.0000 0.0000
Pd 2.2549 2.2549 2.2549
```

Properties
The calculation puts the density at 8.5 g cm⁻³. The symmetry is Pm-3m. As for the size of the total moment: 0.00 μB/atom.

=====

Which one is most stable, and which one is least stable? 2 is the most stable of them, while 1 is the least stable.

=====

--- 1 ---
Here is NaGeTe2N at its PBEsol-relaxed geometry from Alexandria via LeMat-Bulk. Energies are from SCAN.

```
5
Lattice="5.8298 0.0000 0.0000 0.0000 5.8298 0.0000 0.0000 0.0000 3.4600" Properties=species:S:1:pos:R:3 pbc="T T T"
Na 0.0000 0.0000 0.0000
Ge 2.9149 2.9149 1.7300
Te 0.0000 2.9149 1.7300
Te 2.9149 0.0000 1.7300
N 2.9149 2.9149 0.0000
```

Properties
The calculation puts the density at 5.2 g cm⁻³. The symmetry is P4/mmm. As for the size of the total moment: 0.05 μB/atom.

=====

--- 2 ---
Here is NaGeTe2N at its PBEsol-relaxed geometry from Alexandria via LeMat-Bulk. Energies are from SCAN.

```
5
Lattice="5.4855 0.0000 0.0000 0.0000 5.4855 0.0000 0.0000 0.0000 4.2066" Properties=species:S:1:pos:R:3 pbc="T T T"
Na 0.0000 0.0000 0.0000
Ge 2.7427 2.7427 2.1033
Te 0.0000 2.7427 0.0000
Te 2.7427 0.0000 0.0000
N 0.0000 0.0000 2.1033
```

Properties
The calculation puts the density at 4.8 g cm⁻³. The symmetry is P4/mmm. As for the size of the total moment: 0.69 μB/atom.

=====

Which one is most stable, and which one is least stable? 1 is the most stable of them, while 2 is the least stable.

=====

--- 1 ---
Here is ReGe3N at its PBEsol-relaxed geometry from Alexandria via LeMat-Bulk. Energies are from SCAN.

```
5
Lattice="4.1220 0.0000 0.0000 0.0000 4.1220 0.0000 0.0000 0.0000 4.1220" Properties=species:S:1:pos:R:3 pbc="T T T"
Re 0.0000 0.0000 0.0000
Ge 0.0000 2.0610 2.0610
Ge 2.0610 0.0000 2.0610
Ge 2.0610 2.0610 0.0000
N 2.0610 2.0610 2.0610
```

Properties
The calculation puts the density at 9.9 g cm⁻³. The symmetry is Pm-3m. As for the size of the total moment: 0.35 μB/atom.

=====

--- 2 ---
Here is ReGe3N at its PBEsol-relaxed geometry from Alexandria via LeMat-Bulk. Energies are from SCAN.

```
5
Lattice="4.7470 0.0000 0.0000 0.0000 4.7470 0.0000 0.0000 0.0000 4.7470" Properties=species:S:1:pos:R:3 pbc="T T T"
Re 0.0000 0.0000 0.0000
Ge 0.0000 0.0000 2.3735
Ge 0.0000 2.3735 0.0000
Ge 2.3735 0.0000 0.0000
N 2.3735 2.3735 2.3735
```

Properties
The calculation puts the density at 6.5 g cm⁻³. The symmetry is Pm-3m. As for the size of the total moment: 0.40 μB/atom.

=====

Which one is most stable, and which one is least stable? 1 is the most stable of them, while 2 is the least stable.

=====

--- 1 ---
Here is ReGeSN2 at its PBEsol-relaxed geometry from Alexandria via LeMat-Bulk. Energies are from SCAN.

```
5
Lattice="3.8281 0.0000 0.0000 0.0000 3.8281 0.0000 0.0000 0.0000 4.9615" Properties=species:S:1:pos:R:3 pbc="T T T"
Re 0.0000 0.0000 0.0000
Ge 1.9140 1.9140 2.4808
S 0.0000 0.0000 2.4808
N 0.0000 1.9140 0.0000
N 1.9140 0.0000 0.0000
```

Properties
The calculation puts the density at 7.3 g cm⁻³. The symmetry is P4/mmm. As for the size of the total moment: 0.00 μB/atom.

=====

--- 2 ---
Here is ReGeSN2 at its PBEsol-relaxed geometry from Alexandria via LeMat-Bulk. Energies are from SCAN.

```
5
Lattice="3.7091 0.0000 0.0000 0.0000 3.7091 0.0000 0.0000 0.0000 4.5860" Properties=species:S:1:pos:R:3 pbc="T T T"
Re 0.0000 0.0000 0.0000
Ge 1.8545 1.8545 2.2930
S 1.8545 1.8545 0.0000
N 0.0000 1.8545 2.2930
N 1.8545 0.0000 2.2930
```

Properties
The calculation puts the density at 8.4 g cm⁻³. The symmetry is P4/mmm. As for the size of the total moment: 0.43 μB/atom.

=====

Which one is most stable, and which one is least stable? 1 is the most stable of them, while 2 is the least stable.